# 1
# In2NiPbBr | the Alexandria database | GGA-PBE | optimized geometry
data_In2NiPbBr
_chemical_formula_sum 'In2 Ni1 Pb1 Br1'
_symmetry_space_group_name_H-M 'P 1'
_symmetry_Int_Tables_number 1
_cell_length_a 5.087
_cell_length_b 5.087
_cell_length_c 5.178
_cell_angle_alpha 90.00
_cell_angle_beta 90.00
_cell_angle_gamma 90.00
loop_
_symmetry_equiv_pos_as_xyz
'x,y,z'
loop_
_atom_site_label
_atom_site_fract_x
_atom_site_fract_y
_atom_site_fract_z
In1 0.000 0.500 0.000
In2 0.500 0.000 0.000
Ni1 0.000 0.000 0.000
Pb1 0.000 0.000 0.500
Br1 0.500 0.500 0.500
# VASP energy: -3.56 eV per atom

***

# 2
# CaTePd | the Alexandria database | GGA-PBE | optimized geometry
data_CaTePd
_chemical_formula_sum 'Ca2 Te2 Pd2'
_symmetry_space_group_name_H-M 'P 1'
_symmetry_Int_Tables_number 1
_cell_length_a 8.179
_cell_length_b 8.179
_cell_length_c 8.179
_cell_angle_alpha 33.58
_cell_angle_beta 33.58
_cell_angle_gamma 33.58
loop_
_symmetry_equiv_pos_as_xyz
'x,y,z'
loop_
_atom_site_label
_atom_site_fract_x
_atom_site_fract_y
_atom_site_fract_z
Ca1 0.240 0.240 0.240
Ca2 0.760 0.760 0.760
Te1 0.000 0.000 0.000
Te2 0.500 0.500 0.500
Pd1 0.366 0.366 0.366
Pd2 0.634 0.634 0.634
# VASP energy: -4.48 eV per atom

***

# 3
# MnGeCN | the Alexandria database | GGA-PBE | optimized geometry
data_MnGeCN
_chemical_formula_sum 'Mn1 Ge1 C1 N1'
_symmetry_space_group_name_H-M 'P 1'
_symmetry_Int_Tables_number 1
_cell_length_a 2.997
_cell_length_b 2.489
_cell_length_c 5.683
_cell_angle_alpha 90.00
_cell_angle_beta 90.06
_cell_angle_gamma 90.00
loop_
_symmetry_equiv_pos_as_xyz
'x,y,z'
loop_
_atom_site_label
_atom_site_fract_x
_atom_site_fract_y
_atom_site_fract_z
Mn1 0.000 0.000 0.000
Ge1 0.501 0.500 0.267
C1 0.499 0.000 0.737
N1 0.499 0.500 0.608
# ΔE to the lowest computed polymorph: 177 meV/atom
# VASP energy: -7.38 eV per atom

***

# 4
# Os2Rh2Au | the Alexandria database | GGA-PBE | optimized geometry
data_Os2Rh2Au
_chemical_formula_sum 'Os4 Rh4 Au2'
_symmetry_space_group_name_H-M 'P 1'
_symmetry_Int_Tables_number 1
_cell_length_a 7.580
_cell_length_b 7.580
_cell_length_c 2.745
_cell_angle_alpha 90.00
_cell_angle_beta 90.00
_cell_angle_gamma 90.00
loop_
_symmetry_equiv_pos_as_xyz
'x,y,z'
loop_
_atom_site_label
_atom_site_fract_x
_atom_site_fract_y
_atom_site_fract_z
Os1 0.119 0.381 0.000
Os2 0.381 0.881 0.000
Os3 0.619 0.119 0.000
Os4 0.881 0.619 0.000
Rh1 0.173 0.673 0.500
Rh2 0.327 0.173 0.500
Rh3 0.673 0.827 0.500
Rh4 0.827 0.327 0.500
Au1 0.000 0.000 0.000
Au2 0.500 0.500 0.000
# VASP energy: -7.68 eV per atom
# energy relative to the elements: 0.4050 eV/atom

***

# 5
# Re3Mo | the Alexandria database | GGA-PBE | optimized geometry
data_Re3Mo
_chemical_formula_sum 'Re3 Mo1'
_symmetry_space_group_name_H-M 'P 1'
_symmetry_Int_Tables_number 1
_cell_length_a 2.722
_cell_length_b 4.330
_cell_length_c 5.336
_cell_angle_alpha 90.00
_cell_angle_beta 103.27
_cell_angle_gamma 90.00
loop_
_symmetry_equiv_pos_as_xyz
'x,y,z'
loop_
_atom_site_label
_atom_site_fract_x
_atom_site_fract_y
_atom_site_fract_z
Re1 0.000 0.000 0.000
Re2 0.321 0.500 0.751
Re3 0.679 0.500 0.249
Mo1 0.500 0.000 0.500
# ΔE to the lowest computed polymorph: 87 meV/atom
# VASP energy: -11.87 eV per atom
# energy relative to the elements: 0.1750 eV/atom

***

# 6
# La5Si2Ge | the Alexandria database | GGA-PBE | optimized geometry
data_La5Si2Ge
_chemical_formula_sum 'La10 Si4 Ge2'
_symmetry_space_group_name_H-M 'P 1'
_symmetry_Int_Tables_number 1
_cell_length_a 9.005
_cell_length_b 9.005
_cell_length_c 9.005
_cell_angle_alpha 127.02
_cell_angle_beta 127.02
_cell_angle_gamma 78.22
loop_
_symmetry_equiv_pos_as_xyz
'x,y,z'
loop_
_atom_site_label
_atom_site_fract_x
_atom_site_fract_y
_atom_site_fract_z
La1 0.000 0.000 0.000
La2 0.032 0.532 0.856
La3 0.176 0.032 0.500
La4 0.324 0.824 0.856
La5 0.468 0.324 0.500
La6 0.500 0.500 0.000
La7 0.532 0.676 0.500
La8 0.676 0.176 0.144
La9 0.824 0.968 0.500
La10 0.968 0.468 0.144
Si1 0.114 0.386 0.500
Si2 0.386 0.886 0.273
Si3 0.614 0.114 0.727
Si4 0.886 0.614 0.500
Ge1 0.250 0.250 0.000
Ge2 0.750 0.750 0.000
# VASP energy: -5.67 eV per atom

***

# 7
# Pt5Rh2W2 | the Alexandria database | GGA-PBE | optimized geometry
data_Pt5Rh2W2
_chemical_formula_sum 'Pt5 Rh2 W2'
_symmetry_space_group_name_H-M 'P 1'
_symmetry_Int_Tables_number 1
_cell_length_a 4.303
_cell_length_b 4.303
_cell_length_c 9.680
_cell_angle_alpha 102.83
_cell_angle_beta 102.83
_cell_angle_gamma 60.09
loop_
_symmetry_equiv_pos_as_xyz
'x,y,z'
loop_
_atom_site_label
_atom_site_fract_x
_atom_site_fract_y
_atom_site_fract_z
Pt1 0.000 0.000 0.000
Pt2 0.190 0.190 0.569
Pt3 0.289 0.289 0.862
Pt4 0.711 0.711 0.138
Pt5 0.810 0.810 0.431
Rh1 0.429 0.429 0.289
Rh2 0.571 0.571 0.711
W1 0.093 0.093 0.284
W2 0.907 0.907 0.716
# VASP energy: -7.92 eV per atom
# energy relative to the elements: -0.0512 eV/atom

***

# 8
# CsLaAg3 | the Alexandria database | GGA-PBE | optimized geometry
data_CsLaAg3
_chemical_formula_sum 'Cs1 La1 Ag3'
_symmetry_space_group_name_H-M 'P 1'
_symmetry_Int_Tables_number 1
_cell_length_a 5.970
_cell_length_b 5.970
_cell_length_c 5.970
_cell_angle_alpha 90.00
_cell_angle_beta 90.00
_cell_angle_gamma 90.00
loop_
_symmetry_equiv_pos_as_xyz
'x,y,z'
loop_
_atom_site_label
_atom_site_fract_x
_atom_site_fract_y
_atom_site_fract_z
Cs1 0.000 0.000 0.000
La1 0.500 0.500 0.500
Ag1 0.000 0.500 0.500
Ag2 0.500 0.000 0.500
Ag3 0.500 0.500 0.000
# VASP energy: -2.50 eV per atom
# energy relative to the elements: 0.3664 eV/atom

***

How do the records compare in DOS at the Fermi energy? In the order shown, they have 1.302; 0.539; 1.924; 12.219; 3.470; 15.926; 3.951; 3.165 states/eV/cell.